# PBE NaLiTh, relaxed
# Crystal system   monoclinic
# Formation energy from the elements   1.30 eV per formula unit
data_NaLiTh
_chemical_formula_sum 'Na4 Li4 Th4'
_cell_length_a 9.129
_cell_length_b 5.330
_cell_length_c 7.088
_cell_angle_alpha 90.00
_cell_angle_beta 91.17
_cell_angle_gamma 90.00
_space_group_name_H-M_alt 'P 1'
_space_group_IT_number 1
_space_group_name_Hall 'P 1'
loop_
_atom_site_label
_atom_site_fract_x
_atom_site_fract_y
_atom_site_fract_z
_atom_site_occupancy
Na1 0.002 0.000 0.285 1
Na2 0.498 0.500 0.715 1
Na3 0.502 0.500 0.285 1
Na4 0.998 0.000 0.715 1
Li1 0.168 0.500 0.394 1
Li2 0.332 0.000 0.606 1
Li3 0.668 0.000 0.394 1
Li4 0.832 0.500 0.606 1
Th1 0.166 0.500 0.925 1
Th2 0.334 0.000 0.075 1
Th3 0.666 0.000 0.925 1
Th4 0.834 0.500 0.075 1

---

# PBE Y2TlBF, relaxed
# Formation energy (no corrections)   -8.401 kcal/mol of atoms
# Crystal system   tetragonal
data_Y2TlBF
_chemical_formula_sum 'Y2 Tl1 B1 F1'
_cell_length_a 5.118
_cell_length_b 5.118
_cell_length_c 4.336
_cell_angle_alpha 90.00
_cell_angle_beta 90.00
_cell_angle_gamma 90.00
_space_group_name_H-M_alt 'P 1'
_space_group_IT_number 1
_space_group_name_Hall 'P 1'
loop_
_atom_site_label
_atom_site_fract_x
_atom_site_fract_y
_atom_site_fract_z
_atom_site_occupancy
Y1 0.000 0.500 0.000 1
Y2 0.500 0.000 0.000 1
Tl1 0.000 0.000 0.500 1
B1 0.000 0.000 0.000 1
F1 0.500 0.500 0.500 1